No. 1
A geometry-optimized Y4HoRu5 structure. Source: Alexandria via LeMat-Bulk, functional PBE.

abc: 3.4096 3.4096 17.0052
angles: 90.00 90.00 90.00
Fractional coordinates of all 10 atoms:
1 Ru 0.5000 0.5000 0.5000
2 Ho 0.0000 0.0000 0.0000
3 Y 0.0000 0.0000 0.6003
4 Ru 0.5000 0.5000 0.9022
5 Ru 0.5000 0.5000 0.2994
6 Y 0.0000 0.0000 0.1992
7 Y 0.0000 0.0000 0.3997
8 Ru 0.5000 0.5000 0.7006
9 Y 0.0000 0.0000 0.8008
10 Ru 0.5000 0.5000 0.0978

Values from the calculation:
Formation energy ... -0.289 eV per atom
ρ ... 8.62 g/cm3

No. 2
A geometry-optimized Ti2CrAu structure. Source: Alexandria via LeMat-Bulk, functional PBE.

abc: 3.2892 4.3370 4.3370
angles: 90.00 90.00 90.00
Fractional coordinates of all 4 atoms:
1 Au 0.5000 0.0000 0.0000
2 Ti 0.0000 0.5000 0.0000
3 Cr 0.5000 0.5000 0.5000
4 Ti 0.0000 0.0000 0.5000

Values from the calculation:
Formation energy ... -0.129 eV per atom
ρ ... 9.25 g/cm3

No. 3
A geometry-optimized Tm7Sn2Rh2 structure. Source: Alexandria via LeMat-Bulk, functional PBE.

abc: 6.7091 7.0287 6.7091
angles: 90.00 105.66 90.00
Fractional coordinates of all 11 atoms:
1 Tm 0.5000 0.2360 0.5000
2 Sn 0.8162 0.5000 0.8162
3 Rh 0.7153 0.0000 0.2847
4 Rh 0.2847 0.0000 0.7153
5 Tm 0.5000 0.7529 0.0000
6 Tm 0.0000 0.0000 0.0000
7 Sn 0.1838 0.5000 0.1838
8 Tm 0.5000 0.7640 0.5000
9 Tm 0.5000 0.2471 0.0000
10 Tm 0.0000 0.7529 0.5000
11 Tm 0.0000 0.2471 0.5000

Values from the calculation:
Formation energy ... -0.516 eV per atom
ρ ... 8.86 g/cm3